DFT (PBE) results for crystalline TaZnPt2 at its relaxed geometry.

Geometry as POSCAR:
```
TaZnPt2
1.0
4.919 0.007 -0.007
1.762 4.592 0.007
-3.337 -2.305 2.783
Pt Zn Ta
2 1 1
Direct
0.000 0.000 0.000 Pt
0.750 0.250 0.500 Pt
0.250 0.750 0.500 Zn
0.500 0.500 0.000 Ta
```

## Properties
Uncorrected energy = -0.500 Ry per atom
Formation energy = -0.50 eV per atom